Density functional theory data (GGA+U) for a relaxed Ta2MnO6 crystal.

For the raw total energy, the calculation gives -9.38 eV/atom. The calculation puts the energy above the most stable polymorph in this dataset at 23 meV per atom. The calculation puts the density of states at the Fermi level at 0.00 states/eV/cell.

The space group is P2/c (No. 13) and the conventional cell measures 7.142, 5.820 and 10.862 Å, with angles of 90.00, 104.61 and 90.00 degrees. The inequivalent atoms are Ta at (0.000, 0.148, 0.250), Ta at (0.163, 0.336, 0.578), Ta at (0.500, 0.316, 0.250), Mn at (0.346, 0.181, 0.918), O at (0.119, 0.395, 0.951), O at (0.138, 0.131, 0.435), O at (0.165, 0.117, 0.716), O at (0.200, 0.366, 0.219), O at (0.438, 0.402, 0.622) and O at (0.487, 0.116, 0.114).